Entry a
La2Sm7Tm (GGA-PBE, relaxed); density of states at the Fermi level = 15.417 states/eV/f.u.; spin magnetization = 0.000 μB per cell
1.0
4.8576 1.6003 -0.6533
2.4803 7.2460 -4.5512
-1.2765 -0.0292 10.8476
La Sm Tm
2 7 1
Direct
0.4019 0.7975 0.3988
0.5981 0.2025 0.6012
0.0999 0.7017 0.6034
0.9001 0.2983 0.3966
0.7961 0.6052 0.8026
0.2039 0.3948 0.1974
0.6996 0.8982 0.1952
0.3004 0.1018 0.8048
0.5000 0.5000 0.0000
0.0000 0.0000 0.0000


Entry b
La2Sm7Tm (GGA-PBE, relaxed); density of states at the Fermi level = 16.437 states/eV/f.u.; spin magnetization = 0.000 μB per cell
1.0
3.5028 0.0000 0.0000
0.0000 14.2626 -4.8253
0.0000 -10.7409 10.5517
La Sm Tm
2 7 1
Direct
0.5000 0.7043 0.2957
0.5000 0.2957 0.7043
0.0000 0.8139 0.1861
0.0000 0.1861 0.8139
0.5000 0.1462 0.3400
0.5000 0.8538 0.6600
0.5000 0.3400 0.1462
0.5000 0.6600 0.8538
0.5000 0.5000 0.5000
0.0000 0.0000 0.0000


It is entry b that is the least stable of them.


Entry a
La2Sm2Tm5 (GGA-PBE, relaxed); density of states at the Fermi level = 15.700 states/eV/f.u.; spin magnetization = 0.000 μB per cell
1.0
11.8916 0.0000 0.0000
0.0000 6.7301 0.0000
-5.9458 -3.3650 7.4844
La Sm Tm
4 4 10
Direct
0.1270 0.6869 0.2539
0.8730 0.4330 0.7461
0.6269 0.1869 0.2539
0.3731 0.9330 0.7461
0.0000 0.0167 0.0000
0.5000 0.5167 0.0000
0.2596 0.3566 0.5000
0.7404 0.8566 0.5000
0.2029 0.6487 0.8937
0.7971 0.7550 0.1063
0.1908 0.1487 0.8937
0.8092 0.2550 0.1063
0.3750 0.0311 0.2849
0.6250 0.7462 0.7151
0.4099 0.5311 0.2849
0.5901 0.2462 0.7151
0.0072 0.6618 0.5000
0.9928 0.1618 0.5000


Entry b
La2Sm2Tm5 (GGA-PBE, relaxed); density of states at the Fermi level = 13.306 states/eV/f.u.; spin magnetization = 0.003 μB per cell
1.0
-2.2177 1.2500 -2.3888
-0.4540 -7.5340 -3.5206
-6.7119 2.6607 10.1742
La Sm Tm
2 2 5
Direct
0.8175 0.7771 0.6350
0.1825 0.2229 0.3650
0.5451 0.7347 0.0903
0.4549 0.2653 0.9097
0.6907 0.8519 0.3815
0.3093 0.1481 0.6185
0.9013 0.5365 0.8026
0.0987 0.4635 0.1974
0.0000 0.0000 0.0000


It is entry b that is the least stable of them.


Entry a
La4Sm5Tm2 (GGA-PBE, relaxed); density of states at the Fermi level = 15.908 states/eV/f.u.; spin magnetization = 0.000 μB per cell
1.0
3.5290 0.0000 0.0000
0.0000 9.5017 0.0000
-1.7645 -4.7508 11.5164
La Sm Tm
4 5 2
Direct
0.0000 0.2893 0.0000
0.5934 0.5934 0.1868
0.0000 0.7107 0.0000
0.4066 0.4066 0.8132
0.8472 0.0513 0.6944
0.8472 0.6431 0.6944
0.1528 0.3569 0.3056
0.1528 0.9487 0.3056
0.5000 0.0000 0.0000
0.2714 0.2714 0.5429
0.7286 0.7286 0.4571


Entry b
La4Sm5Tm2 (GGA-PBE, relaxed); density of states at the Fermi level = 18.298 states/eV/f.u.; spin magnetization = 0.000 μB per cell
1.0
-2.0465 2.2877 -1.8424
-9.7104 -5.2440 4.2747
1.5680 4.7524 7.6373
La Sm Tm
4 5 2
Direct
0.3583 0.2057 0.7165
0.9600 0.7371 0.9201
0.6417 0.7943 0.2835
0.0400 0.2629 0.0799
0.9027 0.4617 0.8055
0.0973 0.5383 0.1945
0.8209 0.9264 0.6418
0.5000 0.0000 0.0000
0.1791 0.0736 0.3582
0.7163 0.3619 0.4327
0.2837 0.6381 0.5673


It is entry a that is the least stable of them.


Entry a
LaSm8Tm6 (GGA-PBE, relaxed); density of states at the Fermi level = 20.043 states/eV/f.u.; spin magnetization = 0.000 μB per cell
1.0
6.5857 0.0000 0.0000
0.0000 8.1783 -4.7217
0.0000 0.0000 9.4435
La Sm Tm
1 8 6
Direct
0.5000 0.0000 0.0000
0.8947 0.9801 0.3119
0.8947 0.6881 0.6683
0.8947 0.3317 0.0199
0.1053 0.0199 0.6881
0.1053 0.3119 0.3317
0.1053 0.6683 0.9801
0.8234 0.3333 0.6667
0.1766 0.6667 0.3333
0.6005 0.6767 0.0883
0.6005 0.9117 0.5884
0.6005 0.4116 0.3233
0.3995 0.3233 0.9117
0.3995 0.0883 0.4116
0.3995 0.5884 0.6767


Entry b
LaSm8Tm6 (GGA-PBE, relaxed); density of states at the Fermi level = 23.824 states/eV/f.u.; spin magnetization = 0.000 μB per cell
1.0
9.0350 0.0000 0.0000
4.5175 7.8245 0.0000
4.5175 2.6082 6.9692
La Sm Tm
1 8 6
Direct
0.0000 0.0000 0.0000
0.2480 0.2843 0.5811
0.7157 0.1133 0.4189
0.1133 0.7520 0.4189
0.5777 0.5777 0.2669
0.4223 0.4223 0.7331
0.8867 0.2480 0.5811
0.2843 0.8867 0.5811
0.7520 0.7157 0.4189
0.4664 0.9040 0.8807
0.0960 0.2512 0.1193
0.2512 0.5336 0.1193
0.7488 0.4664 0.8807
0.9040 0.7488 0.8807
0.5336 0.0960 0.1193


It is entry a that is the least stable of them.